Entry 1:
The following is a PBE calculation of a relaxed structure of TaTcRu2, from Alexandria via LeMat-Bulk.

```
TaTcRu2
1.0
5.210 -0.006 0.004
2.402 4.623 -0.004
-3.335 -3.085 2.550
Ru Ta Tc
2 1 1
Direct
0.732 0.232 0.500
0.006 0.006 0.000
0.498 0.498 0.000
0.264 0.764 0.500
```

Computed properties:
SG	Imm2
energy relative to the elements	0.0224	eV per atom

Entry 2:
The following is a PBE calculation of a relaxed structure of LiAcAsIr, from Alexandria via LeMat-Bulk.

```
LiAcAsIr
1.0
4.871 0.000 0.000
2.436 4.219 0.000
2.436 1.406 3.977
Li Ac As Ir
1 1 1 1
Direct
0.500 0.500 0.500
0.750 0.750 0.750
0.250 0.250 0.250
0.000 0.000 0.000
```

Computed properties:
SG	F-43m
energy relative to the elements	-0.3932	eV per atom

Entry 3:
The following is a PBE calculation of a relaxed structure of Ac4CdSe7, from Alexandria via LeMat-Bulk.

```
Ac4CdSe7
1.0
4.371 0.000 0.000
-2.186 6.885 -1.883
0.000 -0.157 12.669
Ac Se Cd
4 7 1
Direct
0.004 0.007 0.991
0.315 0.630 0.211
0.110 0.219 0.441
0.698 0.396 0.800
0.342 0.683 0.956
0.037 0.074 0.763
0.274 0.549 0.656
0.665 0.329 0.053
0.738 0.476 0.363
0.965 0.930 0.214
0.474 0.949 0.482
0.878 0.757 0.571
```

Computed properties:
SG	Cm
uncorrected formation energy	-1.729	eV/atom

Number 1: total magnetic moment 0.0 μB/f.u.. Number 2: total magnetic moment 0.0 μB/f.u.. Number 3: total magnetic moment 0.0 μB/f.u..